Version i
The following is a PBE-GGA calculation of an optimized crystal structure of La2Au2I, from Alexandria.

Cell: 8.622 8.622 3.990 Å, 90.00 90.00 90.00°
Space group P4/mbm (No. 127)
One atom of each set of equivalent atoms:
1 La 0.163 0.337 0.000 (multiplicity 4)
2 Au 0.127 0.627 0.500 (multiplicity 4)
3 I 0.000 0.000 0.000 (multiplicity 2)

---

Version ii
The following is a PBE-GGA calculation of an optimized crystal structure of La2Au2I, from Alexandria.

Cell: 5.567 5.567 10.334 Å, 90.00 90.00 90.00°
Space group I4/mmm (No. 139)
One atom of each set of equivalent atoms:
1 La 0.000 0.500 0.250 (multiplicity 4)
2 Au 0.000 0.000 0.130 (multiplicity 4)
3 I 0.000 0.000 0.500 (multiplicity 2)

---

Each structure's energy above the most stable one, in kJ/mol of atoms: version i 0.0; version ii 21.3.